A plane-wave DFT calculation with PBE was carried out for a geometry-optimized Zn2InTe structure.

Lattice parameters (Å, degrees): 4.0268 4.0531 6.0329 90.00 90.00 90.00
Closest atoms and distances in Å follow each position.
Fractional coordinates of all 4 atoms:
1 Zn 0.0000 0.0000 0.0000  4 Te 2.86
2 Zn 0.5000 0.0000 0.5000  4 In 2.86
3 In 0.0000 0.5000 0.5000  4 Zn 2.86
4 Te 0.5000 0.5000 0.0000  4 Zn 2.86

symmetry	Pmmm



A plane-wave DFT calculation with PBE was carried out for a geometry-optimized ZnIn2Te structure.

Lattice parameters (Å, degrees): 3.1766 4.1001 7.9678 90.00 90.05 90.00
Closest atoms and distances in Å follow each position.
Fractional coordinates of all 4 atoms:
1 Zn 0.0000 0.0000 0.0000  2 Te 2.87, 4 In 3.01, 2 Zn 3.18
2 In 0.0002 0.0000 0.4485  2 Te 3.15, 6 In 3.18-3.31
3 In 0.4998 0.5000 0.1912  4 Zn 3.01, 6 In 3.18-3.31
4 Te 0.9966 0.5000 0.7487  2 Zn 2.87, 2 In 3.15, 2 Te 3.18

symmetry	Pm



A plane-wave DFT calculation with PBE was carried out for a geometry-optimized ZnInTe structure.

Lattice parameters (Å, degrees): 4.9528 4.9528 4.9528 60.00 60.00 60.00
Closest atoms and distances in Å follow each position.
Fractional coordinates of all 3 atoms:
1 Zn 0.0000 0.0000 0.0000  4 In 3.03, 4 Te 3.03
2 In 0.2500 0.2500 0.2500  4 Zn 3.03
3 Te 0.7500 0.7500 0.7500  4 Zn 3.03

symmetry	F-43m



The evaluated E_form (uncorrected) for the records listed, in turn: 0.3 -0.1 0.1 eV per formula unit.
The evaluated energy above the lowest structure with this stoichiometry for the records listed, in turn: 0.080 0.049 0.165 eV per atom.